First-principles (GGA-PBE) data for a relaxed Fe2AsPb crystal, as listed in Alexandria.

Cell lengths 5.7180, 5.7180, 5.7180 Å; angles 42.32, 42.32, 42.32 degrees
With the nearest neighbours (Å) after each atom.
Element x y z (fractional)
1 As 0.7500 0.7500 0.7500  6 Fe 2.41
2 Fe 0.4383 0.4383 0.4383  3 As 2.41, 3 Fe 2.48
3 Fe 0.0617 0.0617 0.0617  3 As 2.41, 3 Fe 2.48
4 Pb 0.2500 0.2500 0.2500  8 Fe 2.94-3.29

Values from the calculation:
**Relative energy among the computed polymorphs**: 31 meV per atom
**M_tot**: 4.4 μB per cell
**Energy**: -6.14 eV/atom
**Calculated volume**: 19.18 Å³ per atom
**Formation enthalpy at 0 K**: 184 meV per atom



First-principles (GGA-PBE) data for a relaxed CaAl3Ag3 crystal, as listed in Alexandria.

Cell lengths 4.5521, 6.4405, 10.1263 Å; angles 114.20, 90.00, 90.00 degrees
With the nearest neighbours (Å) after each atom.
Element x y z (fractional)
1 Ca 0.7500 0.3575 0.7239  7 Ag 3.08-3.29, 5 Al 3.24-3.27
2 Al 0.7500 0.9086 0.8610  2 Ag 2.71-2.92, 5 Al 2.78-2.85
3 Al 0.7500 0.8072 0.1071  4 Ag 2.71-2.77, 4 Al 2.82-2.93
4 Ag 0.7500 0.9893 0.4069  2 Al 2.62-2.77, 3 Ag 2.90-2.92
5 Ag 0.2500 0.0107 0.5931  2 Al 2.62-2.77, 3 Ag 2.90-2.92
6 Ag 0.2500 0.3244 0.4541  4 Al 2.70-2.92, 1 Ag 2.90
7 Ag 0.7500 0.3527 0.0475  5 Al 2.71-2.74
8 Al 0.7500 0.2940 0.2981  5 Ag 2.62-2.73, 2 Al 2.78
9 Al 0.2500 0.0914 0.1390  2 Ag 2.71-2.92, 5 Al 2.78-2.85
10 Al 0.2500 0.1928 0.8929  4 Ag 2.71-2.77, 4 Al 2.82-2.93
11 Al 0.2500 0.7060 0.7019  5 Ag 2.62-2.73, 2 Al 2.78
12 Ag 0.2500 0.6473 0.9525  5 Al 2.71-2.74
13 Ca 0.2500 0.6425 0.2761  7 Ag 3.08-3.29, 5 Al 3.24-3.27
14 Ag 0.7500 0.6756 0.5459  4 Al 2.70-2.92, 1 Ag 2.90

Values from the calculation:
**Relative energy among the computed polymorphs**: 0 meV per atom
**M_tot**: 0.0 μB per cell
**Energy**: -3.30 eV/atom
**Calculated volume**: 19.34 Å³ per atom
**Formation enthalpy at 0 K**: -192 meV per atom